No. 1
Material: KInSnS3
Method: DFT, GGA-PBE
State: optimized geometry

Properties
Raw formation energy   -402 kJ/mol of formula units

Lattice parameters (Å, degrees): 4.113 9.153 10.569 97.63 90.00 90.00
Atoms (fractional coordinates):
K: 0.250 0.146 0.149
K: 0.750 0.854 0.851
In: 0.250 0.103 0.616
In: 0.750 0.897 0.384
Sn: 0.250 0.604 0.142
Sn: 0.750 0.396 0.858
S: 0.750 0.870 0.157
S: 0.250 0.130 0.843
S: 0.250 0.828 0.509
S: 0.750 0.172 0.491
S: 0.750 0.394 0.100
S: 0.250 0.606 0.900

No. 2
Material: KInSnS4
Method: DFT, GGA-PBE
State: optimized geometry

Properties
Fermi-level density of states   0.0 states/eV/cell
Raw formation energy   -466 kJ/mol of formula units

Lattice parameters (Å, degrees): 6.980 6.980 6.612 121.86 121.86 90.00
Atoms (fractional coordinates):
K: 0.000 0.000 0.000
In: 0.250 0.750 0.500
Sn: 0.500 0.500 0.000
S: 0.160 0.128 0.697
S: 0.431 0.840 0.303
S: 0.537 0.569 0.697
S: 0.872 0.463 0.303

No. 3
Material: K2InTeS4
Method: DFT, GGA-PBE
State: optimized geometry

Properties
Fermi-level density of states   2.6 states/eV/cell
Raw formation energy   -478 kJ/mol of formula units

Lattice parameters (Å, degrees): 8.165 8.165 8.099 116.47 116.47 89.62
Atoms (fractional coordinates):
K: 0.500 0.000 0.000
K: 0.500 0.000 0.500
K: 0.000 0.000 0.500
K: 0.500 0.500 0.000
In: 0.000 0.500 0.000
In: 0.000 0.500 0.500
Te: 0.500 0.500 0.500
Te: 0.000 0.000 0.000
S: 0.187 0.720 0.928
S: 0.780 0.313 0.572
S: 0.220 0.687 0.428
S: 0.813 0.280 0.072
S: 0.795 0.758 0.011
S: 0.742 0.705 0.489
S: 0.258 0.295 0.511
S: 0.205 0.242 0.989